[1]
The following is a meta-GGA SCAN calculation of RbBSb2Rh at its PBEsol-relaxed geometry, from Alexandria.

Summary:
The value obtained for the uncorrected formation energy is 2.74 eV per atom. As for the space group: P4/mmm (123). Its crystal system is tetragonal.

Cell lengths 4.7310, 5.8197, 5.8197 Å; angles 90.00, 90.00, 90.00 degrees
Fractional positions:
Rb: 0.0000 0.0000 0.0000
Rh: 0.5000 0.0000 0.0000
Sb: 0.0000 0.0000 0.5000
Sb: 0.0000 0.5000 0.0000
B: 0.5000 0.5000 0.5000

=====

[2]
The following is a meta-GGA SCAN calculation of Rb3BRu at its PBEsol-relaxed geometry, from Alexandria.

Summary:
As for the space group: Pm-3m (221). For the final energy, the calculation gives -19.05 eV per atom. Its crystal system is cubic.

Cell lengths 5.6704, 5.6704, 5.6704 Å; angles 90.00, 90.00, 90.00 degrees
Fractional positions:
Rb: 0.0000 0.0000 0.5000
Rb: 0.0000 0.5000 0.0000
Rb: 0.5000 0.0000 0.0000
B: 0.5000 0.5000 0.5000
Ru: 0.0000 0.0000 0.0000

=====

[3]
The following is a meta-GGA SCAN calculation of RbBRu3 at its PBEsol-relaxed geometry, from Alexandria.

Summary:
As for the space group: Pm-3m (221). For the final energy, the calculation gives -22.53 eV per atom. Its crystal system is cubic.

Cell lengths 4.6578, 4.6578, 4.6578 Å; angles 90.00, 90.00, 90.00 degrees
Fractional positions:
Rb: 0.0000 0.0000 0.0000
Ru: 0.0000 0.0000 0.5000
B: 0.5000 0.5000 0.5000
Ru: 0.0000 0.5000 0.0000
Ru: 0.5000 0.0000 0.0000

=====

[4]
The following is a meta-GGA SCAN calculation of Rb2BS at its PBEsol-relaxed geometry, from Alexandria.

Summary:
The value obtained for the uncorrected formation energy is 0.49 eV per atom. As for the space group: Fm-3m (225). Its crystal system is cubic.

Cell lengths 5.4126, 5.4126, 5.4126 Å; angles 60.00, 60.00, 60.00 degrees
Fractional positions:
S: 0.5000 0.5000 0.5000
B: 0.0000 0.0000 0.0000
Rb: 0.2500 0.2500 0.2500
Rb: 0.7500 0.7500 0.7500

=====

[5]
The following is a meta-GGA SCAN calculation of RbBS3 at its PBEsol-relaxed geometry, from Alexandria.

Summary:
The value obtained for the uncorrected formation energy is 0.36 eV per atom. As for the space group: Pm-3m (221). Its crystal system is cubic.

Cell lengths 4.4385, 4.4385, 4.4385 Å; angles 90.00, 90.00, 90.00 degrees
Fractional positions:
Rb: 0.5000 0.5000 0.5000
S: 0.0000 0.0000 0.5000
S: 0.0000 0.5000 0.0000
B: 0.0000 0.0000 0.0000
S: 0.5000 0.0000 0.0000

=====

[6]
The following is a meta-GGA SCAN calculation of Rb3BS3 at its PBEsol-relaxed geometry, from Alexandria.

Summary:
The value obtained for the uncorrected formation energy is -1.22 eV per atom. As for the space group: P2_1/c (14). Its crystal system is monoclinic.

Cell lengths 6.4696, 10.5323, 13.2406 Å; angles 104.53, 90.00, 90.00 degrees
Fractional positions:
Rb: 0.3569 0.7479 0.5080
Rb: 0.0624 0.4051 0.3042
Rb: 0.7139 0.9723 0.1411
Rb: 0.1431 0.7479 0.0080
B: 0.1170 0.2341 0.6277
Rb: 0.2861 0.0277 0.8589
S: 0.2155 0.0911 0.1222
S: 0.7845 0.9089 0.8778
S: 0.1470 0.3303 0.5304
Rb: 0.6431 0.2521 0.4920
B: 0.3830 0.2341 0.1277
S: 0.0756 0.7143 0.2673
S: 0.9244 0.2857 0.7327
S: 0.4244 0.7143 0.7673
Rb: 0.5624 0.5949 0.1958
S: 0.8530 0.6697 0.4696
Rb: 0.2139 0.0277 0.3589
Rb: 0.4376 0.4051 0.8042
B: 0.8830 0.7659 0.3723
S: 0.2845 0.0911 0.6222
Rb: 0.9376 0.5949 0.6958
S: 0.5756 0.2857 0.2327
Rb: 0.7861 0.9723 0.6411
B: 0.6170 0.7659 0.8723
S: 0.7155 0.9089 0.3778
S: 0.6470 0.6697 0.9696
S: 0.3530 0.3303 0.0304
Rb: 0.8569 0.2521 0.9920

=====

[7]
The following is a meta-GGA SCAN calculation of Rb4B9Se9 at its PBEsol-relaxed geometry, from Alexandria.

Summary:
The value obtained for the uncorrected formation energy is -0.70 eV per atom. As for the space group: P-1 (2). Its crystal system is triclinic.

Cell lengths 10.3865, 10.5314, 10.8049 Å; angles 91.39, 103.59, 109.58 degrees
Fractional positions:
Se: 0.4753 0.7386 0.5424
Rb: 0.6115 0.3737 0.1325
Se: 0.8386 0.7184 0.1741
Se: 0.5073 0.6455 0.2079
B: 0.9188 0.2564 0.2607
Rb: 0.7517 0.6329 0.4754
Rb: 0.3658 0.9978 0.6344
B: 0.8797 0.0251 0.8756
B: 0.0122 0.9628 0.8526
B: 0.0615 0.1329 0.9182
Se: 0.9696 0.0982 0.3161
B: 0.8360 0.9671 0.0183
Se: 0.1083 0.6272 0.6182
B: 0.1640 0.0329 0.9817
B: 0.8736 0.8608 0.9137
Se: 0.5247 0.2614 0.4576
Se: 0.0304 0.9018 0.6839
B: 0.6358 0.8194 0.6842
Se: 0.1614 0.2816 0.8259
Se: 0.8917 0.3728 0.3818
Rb: 0.2483 0.3671 0.5246
B: 0.0812 0.7436 0.7393
Se: 0.0968 0.7070 0.9210
B: 0.9878 0.0372 0.1474
Se: 0.2746 0.9799 0.2781
B: 0.3400 0.2427 0.8540
Se: 0.9032 0.2930 0.0790
Rb: 0.8397 0.3814 0.7334
Se: 0.4927 0.3545 0.7921
B: 0.1203 0.9749 0.1244
B: 0.1264 0.1392 0.0863
Se: 0.3548 0.0878 0.9483
B: 0.6600 0.7573 0.1460
B: 0.0484 0.8638 0.9781
Rb: 0.6342 0.0022 0.3656
Rb: 0.1603 0.6186 0.2666
B: 0.9516 0.1362 0.0219
Se: 0.7254 0.0201 0.7219
Rb: 0.3885 0.6263 0.8675
Se: 0.7179 0.7074 0.7986
Se: 0.2821 0.2926 0.2014
B: 0.3642 0.1806 0.3158
B: 0.9385 0.8671 0.0818
Se: 0.6452 0.9122 0.0517

=====

[8]
The following is a meta-GGA SCAN calculation of RbB2Se2 at its PBEsol-relaxed geometry, from Alexandria.

Summary:
The value obtained for the uncorrected formation energy is 0.82 eV per atom. The calculation puts the polymorph energy (0 for the lowest one) at 180.6 meV per atom. As for the space group: P4/mbm (127). Its crystal system is tetragonal.

Cell lengths 3.7923, 7.4156, 7.4156 Å; angles 90.00, 90.00, 90.00 degrees
Fractional positions:
B: 0.0000 0.5788 0.0788
Rb: 0.0000 0.0000 0.0000
B: 0.0000 0.9212 0.5788
Se: 0.5000 0.8802 0.3802
Se: 0.5000 0.1198 0.6198
Se: 0.5000 0.6198 0.8802
B: 0.0000 0.4212 0.9212
B: 0.0000 0.0788 0.4212
Se: 0.5000 0.3802 0.1198
Rb: 0.0000 0.5000 0.5000

=====

[9]
The following is a meta-GGA SCAN calculation of RbB2Se2 at its PBEsol-relaxed geometry, from Alexandria.

Summary:
The value obtained for the uncorrected formation energy is 0.64 eV per atom. The calculation puts the polymorph energy (0 for the lowest one) at 0.0 meV per atom. As for the space group: I4/mmm (139). Its crystal system is tetragonal.

Cell lengths 4.6050, 5.1282, 4.6050 Å; angles 63.32, 90.00, 116.68 degrees
Fractional positions:
Rb: 0.0000 0.0000 0.0000
B: 0.3818 0.7637 0.6182
Se: 0.7500 0.5000 0.7500
Se: 0.2500 0.5000 0.2500
B: 0.6182 0.2363 0.3818

=====

[10]
The following is a meta-GGA SCAN calculation of Rb2B2Se7 at its PBEsol-relaxed geometry, from Alexandria.

Summary:
The value obtained for the uncorrected formation energy is -0.63 eV per atom. As for the space group: C2/c (15). Its crystal system is monoclinic.

Cell lengths 7.2781, 8.6980, 11.3142 Å; angles 76.21, 71.24, 65.27 degrees
Fractional positions:
Se: 0.4517 0.2500 0.7500
Rb: 0.1205 0.6869 0.5203
Se: 0.3938 0.1242 0.3322
Se: 0.0954 0.1041 0.7323
Se: 0.5483 0.7500 0.2500
B: 0.6145 0.8853 0.3476
Se: 0.9318 0.3959 0.7677
Se: 0.1683 0.2411 0.0173
Se: 0.5733 0.7411 0.5173
Se: 0.1498 0.6242 0.8322
Se: 0.6062 0.8758 0.6678
B: 0.1526 0.3853 0.8476
Rb: 0.6723 0.1869 0.0203
Se: 0.8502 0.3758 0.1678
Rb: 0.3277 0.8131 0.9797
Se: 0.4267 0.2589 0.4827
Se: 0.9046 0.8959 0.2677
Se: 0.8317 0.7589 0.9827
B: 0.8474 0.6147 0.1524
Se: 0.0682 0.6041 0.2323
Rb: 0.8795 0.3131 0.4797
B: 0.3855 0.1147 0.6524

=====

[11]
The following is a meta-GGA SCAN calculation of Rb2TcBSe at its PBEsol-relaxed geometry, from Alexandria.

Summary:
The value obtained for the uncorrected formation energy is 1.09 eV per atom. As for the space group: P4/mmm (123). Its crystal system is tetragonal.

Cell lengths 4.6069, 6.4022, 6.4022 Å; angles 90.00, 90.00, 90.00 degrees
Fractional positions:
Tc: 0.5000 0.0000 0.0000
Rb: 0.0000 0.0000 0.5000
Rb: 0.0000 0.5000 0.0000
B: 0.5000 0.5000 0.5000
Se: 0.0000 0.0000 0.0000

=====

[12]
The following is a meta-GGA SCAN calculation of Rb3TaB at its PBEsol-relaxed geometry, from Alexandria.

Summary:
As for the space group: Pm-3m (221). For the final energy, the calculation gives -24.97 eV per atom. Its crystal system is cubic.

Cell lengths 6.7510, 6.7510, 6.7510 Å; angles 90.00, 90.00, 90.00 degrees
Fractional positions:
Ta: 0.0000 0.0000 0.0000
Rb: 0.5000 0.0000 0.0000
Rb: 0.0000 0.5000 0.0000
B: 0.5000 0.5000 0.5000
Rb: 0.0000 0.0000 0.5000

=====

[13]
The following is a meta-GGA SCAN calculation of RbTa3B at its PBEsol-relaxed geometry, from Alexandria.

Summary:
As for the space group: Pm-3m (221). For the final energy, the calculation gives -41.39 eV per atom. Its crystal system is cubic.

Cell lengths 4.6710, 4.6710, 4.6710 Å; angles 90.00, 90.00, 90.00 degrees
Fractional positions:
Ta: 0.0000 0.0000 0.5000
Ta: 0.0000 0.5000 0.0000
Ta: 0.5000 0.0000 0.0000
B: 0.5000 0.5000 0.5000
Rb: 0.0000 0.0000 0.0000

=====

[14]
The following is a meta-GGA SCAN calculation of RbTcB3 at its PBEsol-relaxed geometry, from Alexandria.

Summary:
The calculation puts the polymorph energy (0 for the lowest one) at 3139.6 meV per atom. As for the space group: Pm-3m (221). Its crystal system is cubic.

Cell lengths 4.1669, 4.1669, 4.1669 Å; angles 90.00, 90.00, 90.00 degrees
Fractional positions:
B: 0.5000 0.0000 0.0000
B: 0.0000 0.0000 0.5000
Rb: 0.0000 0.0000 0.0000
Tc: 0.5000 0.5000 0.5000
B: 0.0000 0.5000 0.0000

=====

[15]
The following is a meta-GGA SCAN calculation of RbTcB3 at its PBEsol-relaxed geometry, from Alexandria.

Summary:
The calculation puts the polymorph energy (0 for the lowest one) at 0.0 meV per atom. As for the space group: Pm-3m (221). Its crystal system is cubic.

Cell lengths 4.2409, 4.2409, 4.2409 Å; angles 90.00, 90.00, 90.00 degrees
Fractional positions:
B: 0.0000 0.5000 0.0000
Tc: 0.0000 0.0000 0.0000
B: 0.5000 0.0000 0.0000
Rb: 0.5000 0.5000 0.5000
B: 0.0000 0.0000 0.5000

=====

[16]
The following is a meta-GGA SCAN calculation of RbTc3B at its PBEsol-relaxed geometry, from Alexandria.

Summary:
As for the space group: Pm-3m (221). For the final energy, the calculation gives -25.33 eV per atom. Its crystal system is cubic.

Cell lengths 4.2863, 4.2863, 4.2863 Å; angles 90.00, 90.00, 90.00 degrees
Fractional positions:
B: 0.0000 0.0000 0.0000
Tc: 0.0000 0.5000 0.0000
Tc: 0.0000 0.0000 0.5000
Tc: 0.5000 0.0000 0.0000
Rb: 0.5000 0.5000 0.5000

=====

[17]
The following is a meta-GGA SCAN calculation of Rb2TiB2 at its PBEsol-relaxed geometry, from Alexandria.

Summary:
As for the space group: I4/mmm (139). For the final energy, the calculation gives -13.21 eV per atom. Its crystal system is tetragonal.

Cell lengths 4.0129, 4.0129, 7.0787 Å; angles 106.47, 106.47, 90.00 degrees
Fractional positions:
Rb: 0.2500 0.7500 0.5000
B: 0.5603 0.5603 0.1206
Ti: 0.0000 0.0000 0.0000
B: 0.4397 0.4397 0.8794
Rb: 0.7500 0.2500 0.5000

=====

[18]
The following is a meta-GGA SCAN calculation of Rb3TlB at its PBEsol-relaxed geometry, from Alexandria.

Summary:
As for the space group: Pm-3m (221). For the final energy, the calculation gives -27.66 eV per atom. Its crystal system is cubic.

Cell lengths 6.2756, 6.2756, 6.2756 Å; angles 90.00, 90.00, 90.00 degrees
Fractional positions:
Rb: 0.0000 0.0000 0.5000
Rb: 0.0000 0.5000 0.0000
B: 0.0000 0.0000 0.0000
Rb: 0.5000 0.0000 0.0000
Tl: 0.5000 0.5000 0.5000

=====

[19]
The following is a meta-GGA SCAN calculation of RbZrB3 at its PBEsol-relaxed geometry, from Alexandria.

Summary:
As for the space group: Pm-3m (221). For the final energy, the calculation gives -11.72 eV per atom. Its crystal system is cubic.

Cell lengths 4.2879, 4.2879, 4.2879 Å; angles 90.00, 90.00, 90.00 degrees
Fractional positions:
B: 0.0000 0.5000 0.0000
B: 0.5000 0.0000 0.0000
Rb: 0.0000 0.0000 0.0000
B: 0.0000 0.0000 0.5000
Zr: 0.5000 0.5000 0.5000

=====

[20]
The following is a meta-GGA SCAN calculation of Re7B3 at its PBEsol-relaxed geometry, from Alexandria.

Summary:
As for the space group: P6_3mc (186). For the final energy, the calculation gives -52.21 eV per atom. Its crystal system is hexagonal.

Cell lengths 4.8853, 7.4933, 7.4933 Å; angles 120.00, 90.00, 90.00 degrees
Fractional positions:
Re: 0.2480 0.1227 0.2455
Re: 0.2480 0.1227 0.8773
B: 0.6597 0.6203 0.8102
Re: 0.9507 0.4542 0.9084
Re: 0.9507 0.0916 0.5458
Re: 0.9507 0.4542 0.5458
Re: 0.7480 0.8773 0.1227
B: 0.1597 0.8102 0.6203
Re: 0.4128 0.3333 0.6667
Re: 0.7480 0.8773 0.7545
B: 0.1597 0.8102 0.1898
B: 0.6597 0.1898 0.8102
Re: 0.4507 0.5458 0.0916
Re: 0.4507 0.9084 0.4542
B: 0.1597 0.3797 0.1898
Re: 0.9128 0.6667 0.3333
Re: 0.4507 0.5458 0.4542
Re: 0.7480 0.2455 0.1227
Re: 0.2480 0.7545 0.8773
B: 0.6597 0.1898 0.3797